FeSeN | PBE | relaxed

Unit cell a=2.801 b=3.763 c=8.988 alpha=84.09 beta=83.84 gamma=68.18
Fractional coordinates of all 6 atoms:
Fe: 0.240 0.110 0.367
Fe: 0.760 0.890 0.633
Se: 0.001 0.294 0.796
Se: 0.999 0.706 0.204
N: 0.404 0.680 0.517
N: 0.596 0.320 0.483

Computed properties:
offset from the most stable computed form	0	meV per atom
DOS at the Fermi energy	0.686	states/eV/atom
energy relative to the elements, uncorrected	-0.0023	eV per atom
symmetry	P-1
V	87.2	Å³ per cell